Entry 1:
LiFeRu2 (PBE, optimized geometry); calculated formation energy = 235 meV/atom; mass density = 8.11 g/cm³; D(E_F) = 4.51 states/eV per cell; raw total energy = -6.9969 eV/atom
1.0
1.397 -2.207 0.000
1.397 2.207 0.000
0.000 0.000 8.797
Li Fe Ru
1 1 2
direct
0.000 0.000 0.000 Li
0.000 0.000 0.500 Fe
0.500 0.500 0.260 Ru
0.500 0.500 0.740 Ru

Entry 2:
LiFeRu2 (PBE, optimized geometry); calculated formation energy = 217 meV/atom; mass density = 8.40 g/cm³; D(E_F) = 4.17 states/eV per cell; raw total energy = -7.0153 eV/atom
1.0
4.410 -1.318 0.000
4.410 1.318 0.000
-0.671 0.000 4.504
Li Fe Ru
1 1 2
direct
0.000 0.000 0.000 Li
0.247 0.247 0.789 Fe
0.502 0.502 0.499 Ru
0.757 0.757 0.291 Ru

Entry 3:
LiFeRu2 (PBE, optimized geometry); calculated formation energy = 206 meV/atom; mass density = 8.87 g/cm³; D(E_F) = 4.23 states/eV per cell; raw total energy = -7.0265 eV/atom
1.0
0.000 2.916 2.916
2.916 0.000 2.916
2.916 2.916 0.000
Li Fe Ru
1 1 2
direct
0.000 0.000 0.000 Li
0.500 0.500 0.500 Fe
0.250 0.250 0.250 Ru
0.750 0.750 0.750 Ru

Entry 4:
Li4FeRu (PBE, optimized geometry); calculated formation energy = 379 meV/atom; mass density = 4.08 g/cm³; D(E_F) = 4.47 states/eV per cell; raw total energy = -3.8537 eV/atom
1.0
0.000 3.349 3.349
3.349 0.000 3.349
3.349 3.349 0.000
Li Fe Ru
4 1 1
direct
0.124 0.124 0.124 Li
0.124 0.124 0.628 Li
0.124 0.628 0.124 Li
0.628 0.124 0.124 Li
0.500 0.500 0.500 Fe
0.750 0.750 0.750 Ru

Entry 5:
LiFeRu2 (PBE, optimized geometry); calculated formation energy = 215 meV/atom; mass density = 8.07 g/cm³; D(E_F) = 3.45 states/eV per cell; raw total energy = -7.0172 eV/atom
1.0
-1.363 2.190 4.569
1.363 -2.190 4.569
1.363 2.190 -4.569
Li Fe Ru
1 1 2
direct
0.000 0.000 0.000 Li
0.500 0.500 0.000 Fe
0.279 0.779 0.500 Ru
0.721 0.221 0.500 Ru

Entry 6:
LiFeRu2 (PBE, optimized geometry); calculated formation energy = 260 meV/atom; mass density = 8.25 g/cm³; D(E_F) = 4.53 states/eV per cell; raw total energy = -6.9723 eV/atom
1.0
2.600 0.000 0.000
0.000 2.600 0.000
0.000 0.000 7.891
Li Fe Ru
1 1 2
direct
0.000 0.000 0.000 Li
0.000 0.000 0.500 Fe
0.500 0.500 0.269 Ru
0.500 0.500 0.731 Ru

Entry 7:
LiFeRu2 (PBE, optimized geometry); calculated formation energy = 204 meV/atom; mass density = 8.43 g/cm³; D(E_F) = 3.22 states/eV per cell; raw total energy = -7.0280 eV/atom
1.0
2.667 0.000 0.000
0.000 3.829 0.000
0.000 0.000 5.109
Li Fe Ru
1 1 2
direct
0.000 0.000 0.000 Li
0.500 0.500 0.772 Fe
0.000 0.000 0.499 Ru
0.500 0.500 0.264 Ru

Entry 8:
LiFeRu2 (PBE, optimized geometry); calculated formation energy = 626 meV/atom; mass density = 7.57 g/cm³; D(E_F) = 9.59 states/eV per cell; raw total energy = -6.6062 eV/atom
1.0
-3.456 3.456 2.433
3.456 -3.456 2.433
3.456 3.456 -2.433
Li Fe Ru
2 2 4
direct
0.000 0.000 0.000 Li
0.750 0.250 0.500 Li
0.250 0.750 0.500 Fe
0.500 0.500 0.000 Fe
0.181 0.625 0.056 Ru
0.375 0.431 0.556 Ru
0.569 0.125 0.944 Ru
0.875 0.819 0.444 Ru

Entry 9:
LiFeRu2 (PBE, optimized geometry); calculated formation energy = 202 meV/atom; mass density = 8.73 g/cm³; D(E_F) = 4.48 states/eV per cell; raw total energy = -7.0298 eV/atom
1.0
-1.489 2.052 4.122
1.489 -2.052 4.122
1.489 2.052 -4.122
Li Fe Ru
1 1 2
direct
0.000 0.000 0.000 Li
0.242 0.742 0.500 Fe
0.488 0.488 0.000 Ru
0.746 0.246 0.500 Ru

Entry 10:
LiFeRu2 (PBE, optimized geometry); calculated formation energy = 271 meV/atom; mass density = 8.64 g/cm³; D(E_F) = 4.56 states/eV per cell; raw total energy = -6.9608 eV/atom
1.0
2.623 0.000 0.000
0.000 3.675 0.000
-0.014 0.000 5.280
Li Fe Ru
1 1 2
direct
0.000 0.000 0.000 Li
0.000 0.000 0.500 Fe
0.500 0.500 0.249 Ru
0.500 0.500 0.751 Ru

Entry 11:
LiFeRu2 (PBE, optimized geometry); calculated formation energy = 243 meV/atom; mass density = 8.42 g/cm³; D(E_F) = 4.53 states/eV per cell; raw total energy = -6.9887 eV/atom
1.0
0.000 2.967 2.967
2.967 0.000 2.967
2.967 2.967 0.000
Li Fe Ru
1 1 2
direct
0.000 0.000 0.000 Li
0.750 0.750 0.750 Fe
0.250 0.250 0.250 Ru
0.500 0.500 0.500 Ru

Entry 12:
LiUFeRu (PBE, optimized geometry); calculated formation energy = 56 meV/atom; mass density = 11.09 g/cm³; D(E_F) = 6.13 states/eV per cell; raw total energy = -7.6791 eV/atom
1.0
0.000 3.110 3.110
3.110 0.000 3.110
3.110 3.110 0.000
Li U Fe Ru
1 1 1 1
direct
0.000 0.000 0.000 Li
0.500 0.500 0.500 U
0.250 0.250 0.250 Fe
0.750 0.750 0.750 Ru